The following is a GGA-PBE calculation of crystalline TbYAgPd at its relaxed geometry, from the Alexandria database.

Lattice parameters (Å, degrees): 3.574 3.574 7.229 90.00 90.00 90.00
Sites, in units of the cell vectors:
Ag  0.000  0.000  0.857
Pd  0.000  0.000  0.356
Y  0.500  0.500  0.597
Tb  0.500  0.500  0.118

Formation enthalpy at 0 K, eV per atom: -0.5929
Calculated volume, Å³ per cell: 92
Crystal system: tetragonal
Distance to the lowest polymorph of the same formula, meV per atom: 0.0